Record 1
Computed, not measured: Cs2HoPa2Se6 after structural relaxation at the GGA-PBE level of DFT.

a b c (Å): 7.217 7.217 8.986
angles (deg): 97.59 97.59 119.74
Positions (direct):
1 Cs 0.167 0.833 0.000
2 Cs 0.833 0.167 0.000
3 Ho 0.000 0.000 0.500
4 Pa 0.335 0.665 0.500
5 Pa 0.665 0.335 0.500
6 Se 0.061 0.394 0.684
7 Se 0.270 0.270 0.313
8 Se 0.394 0.061 0.684
9 Se 0.606 0.939 0.316
10 Se 0.730 0.730 0.687
11 Se 0.939 0.606 0.316

**Fermi-level density of states**: 12.539 states/eV per cell
**DFT total energy**: -5.695 eV per atom
**Formation energy (no corrections)**: -1588 kJ/mol of formula units



Record 2
Computed, not measured: Rb2TlGa after structural relaxation at the GGA-PBE level of DFT.

a b c (Å): 10.347 10.347 10.347
angles (deg): 93.89 93.89 149.81
Positions (direct):
1 Rb 0.000 0.000 0.000
2 Rb 0.000 0.000 0.500
3 Rb 0.000 0.500 0.000
4 Rb 0.500 0.000 0.500
5 Tl 0.375 0.625 0.750
6 Tl 0.625 0.375 0.250
7 Ga 0.125 0.875 0.250
8 Ga 0.875 0.125 0.750

**Fermi-level density of states**: 5.285 states/eV per cell
**DFT total energy**: -1.739 eV per atom
**Energy of formation**: 0.0926 eV per atom
**Relative energy among the computed polymorphs**: 91 meV per atom



Record 3
Computed, not measured: AcEr after structural relaxation at the GGA-PBE level of DFT.

a b c (Å): 5.972 5.972 5.972
angles (deg): 60.36 60.36 60.36
Positions (direct):
1 Ac 0.127 0.127 0.127
2 Ac 0.873 0.873 0.873
3 Er 0.377 0.377 0.377
4 Er 0.623 0.623 0.623

**Fermi-level density of states**: 10.775 states/eV per cell
**DFT total energy**: -4.126 eV per atom
**Energy of formation**: 0.2101 eV per atom
**Relative energy among the computed polymorphs**: 132 meV per atom



Record 4
Computed, not measured: Nd15SmTm4 after structural relaxation at the GGA-PBE level of DFT.

a b c (Å): 5.152 5.152 25.650
angles (deg): 90.00 90.00 90.00
Positions (direct):
1 Nd 0.000 0.000 0.000
2 Nd 0.000 0.000 0.202
3 Nd 0.000 0.000 0.400
4 Nd 0.000 0.000 0.600
5 Nd 0.000 0.000 0.798
6 Nd 0.000 0.500 0.102
7 Nd 0.000 0.500 0.301
8 Nd 0.000 0.500 0.500
9 Nd 0.000 0.500 0.699
10 Nd 0.000 0.500 0.898
11 Nd 0.500 0.000 0.102
12 Nd 0.500 0.000 0.301
13 Nd 0.500 0.000 0.500
14 Nd 0.500 0.000 0.699
15 Nd 0.500 0.000 0.898
16 Sm 0.500 0.500 0.000
17 Tm 0.500 0.500 0.201
18 Tm 0.500 0.500 0.400
19 Tm 0.500 0.500 0.600
20 Tm 0.500 0.500 0.799

**Fermi-level density of states**: 26.075 states/eV per cell
**DFT total energy**: -4.695 eV per atom
**Energy of formation**: 0.0110 eV per atom



Record 5
Computed, not measured: Ba2CaAl12Ni3 after structural relaxation at the GGA-PBE level of DFT.

a b c (Å): 8.560 8.560 8.560
angles (deg): 59.84 59.84 59.84
Positions (direct):
1 Ba 0.093 0.093 0.093
2 Ba 0.907 0.907 0.907
3 Ca 0.500 0.500 0.500
4 Al 0.009 0.655 0.655
5 Al 0.223 0.223 0.589
6 Al 0.223 0.589 0.223
7 Al 0.345 0.345 0.991
8 Al 0.345 0.991 0.345
9 Al 0.411 0.777 0.777
10 Al 0.589 0.223 0.223
11 Al 0.655 0.009 0.655
12 Al 0.655 0.655 0.009
13 Al 0.777 0.411 0.777
14 Al 0.777 0.777 0.411
15 Al 0.991 0.345 0.345
16 Ni 0.000 0.500 0.500
17 Ni 0.500 0.000 0.500
18 Ni 0.500 0.500 0.000

**Fermi-level density of states**: 7.190 states/eV per cell
**DFT total energy**: -3.784 eV per atom
**Energy of formation**: -0.0009 eV per atom



Record 6
Computed, not measured: Hf2ZrZnAg after structural relaxation at the GGA-PBE level of DFT.

a b c (Å): 5.069 5.069 5.108
angles (deg): 90.00 90.00 90.00
Positions (direct):
1 Hf 0.000 0.500 0.000
2 Hf 0.500 0.000 0.000
3 Zr 0.000 0.000 0.000
4 Zn 0.000 0.000 0.500
5 Ag 0.500 0.500 0.500

**Fermi-level density of states**: 3.434 states/eV per cell
**DFT total energy**: -5.330 eV per atom
**Energy of formation**: 1.1862 eV per atom



Question: What is the formula in the second record?
Answer: Rb2TlGa